# TmVFeP2

A relaxed TmVFeP2 crystal (GGA-PBE, Alexandria via LeMat-Bulk).

Cell lengths 3.8727, 3.8727, 9.8492 Å; angles 90.00, 90.00, 90.00 degrees
Closest atoms and distances in Å follow each position.
Space group I-4m2 (No. 119)
Unique sites:
Tm  0.0000  0.0000  0.0000 (multiplicity 2)  8 P 3.00, 4 Fe 3.13, 4 V 3.13
V  0.0000  0.5000  0.2500 (multiplicity 2)  4 P 2.30
Fe  0.0000  0.5000  0.7500 (multiplicity 2)  4 P 2.30
P  0.0000  0.0000  0.3768 (multiplicity 4)  2 Fe 2.30, 2 V 2.30, 1 P 2.43

Values from the calculation:
E_form, eV per atom: -0.90
Crystal system: tetragonal
N(E_F), states/eV per atom: 0.496